# 1
Material: ScReMo3
Method: DFT, PBE
State: optimized geometry

Results
DFT formation energy: 2.183 eV per atom
DOS at the Fermi energy: 1.281 states/eV/atom
VASP energy: -40.36 eV per cell
Size of the total moment: 0.0000 μB per atom

Cell lengths 4.490, 4.490, 4.490 Å; angles 90.00, 90.00, 90.00 degrees
Positions (direct):
1 Sc 0.000 0.000 0.000
2 Re 0.500 0.500 0.500
3 Mo 0.000 0.000 0.500
4 Mo 0.000 0.500 0.000
5 Mo 0.500 0.000 0.000

# 2
Material: Pu2Re3Mo
Method: DFT, PBE
State: optimized geometry

Results
DFT formation energy: 0.497 eV per atom
DOS at the Fermi energy: 2.510 states/eV/atom
VASP energy: -73.86 eV per cell
Size of the total moment: 0.0001 μB per atom

Cell lengths 5.289, 5.289, 5.988 Å; angles 124.45, 124.45, 55.88 degrees
Positions (direct):
1 Pu 0.156 0.156 0.404
2 Pu 0.844 0.844 0.596
3 Re 0.000 0.500 0.000
4 Re 0.500 0.000 0.000
5 Re 0.500 0.500 0.000
6 Mo 0.500 0.500 0.500

# 3
Material: AcIn4Cu4
Method: DFT, PBE
State: optimized geometry

Results
DFT formation energy: -0.140 eV per atom
DOS at the Fermi energy: 0.399 states/eV/atom
VASP energy: -65.42 eV per cell
Size of the total moment: 0.0000 μB per atom

Cell lengths 6.496, 6.496, 8.989 Å; angles 90.00, 90.00, 90.00 degrees
Positions (direct):
1 Ac 0.250 0.750 0.250
2 Ac 0.750 0.250 0.750
3 In 0.009 0.250 0.118
4 In 0.250 0.009 0.618
5 In 0.250 0.491 0.618
6 In 0.491 0.250 0.118
7 In 0.509 0.750 0.882
8 In 0.750 0.509 0.382
9 In 0.750 0.991 0.382
10 In 0.991 0.750 0.882
11 Cu 0.062 0.250 0.412
12 Cu 0.250 0.062 0.912
13 Cu 0.250 0.438 0.912
14 Cu 0.438 0.250 0.412
15 Cu 0.562 0.750 0.588
16 Cu 0.750 0.562 0.088
17 Cu 0.750 0.938 0.088
18 Cu 0.938 0.750 0.588